Entry 1:
VASP calculation (PBE+U) on crystalline MgFeSi2O4 at its relaxed geometry.

Lattice parameters (Å, degrees): 2.9141 8.7944 9.7480 90.00 90.00 90.00
Element x y z (fractional)
Mg 0.5000 0.6542 0.1525
Mg 0.5000 0.1542 0.8475
Fe 0.0000 0.1371 0.3407
O 0.0000 0.7970 0.1305
O 0.0000 0.0185 0.5231
Si 0.0000 0.4836 0.8797
O 0.5000 0.7960 0.6361
O 0.0000 0.5185 0.4769
Si 0.0000 0.9836 0.1203
Fe 0.0000 0.6371 0.6593
Si 0.5000 0.4824 0.3752
O 0.0000 0.2970 0.8695
O 0.5000 0.0216 0.0202
O 0.5000 0.2960 0.3639
O 0.5000 0.5216 0.9798
Si 0.5000 0.9824 0.6248

Calculated values
Fermi-level density of states (states/eV per atom): 0.000
Total moment (μB per formula unit): 4.023
Total DFT energy (no corrections) (eV per atom): -6.554

Entry 2:
VASP calculation (PBE+U) on crystalline MgFeSi2O6 at its relaxed geometry.

Lattice parameters (Å, degrees): 5.2808 9.1008 18.6173 90.00 90.00 90.00
Element x y z (fractional)
O 0.6668 0.2222 0.8031
O 0.6844 0.9779 0.0684
Fe 0.6322 0.6531 0.8763
Si 0.9486 0.1603 0.7734
O 0.4694 0.3440 0.6861
O 0.1668 0.7778 0.6969
O 0.7836 0.8423 0.9378
Mg 0.1358 0.9920 0.6249
O 0.8332 0.2222 0.3031
O 0.5880 0.1987 0.4497
O 0.4536 0.9963 0.6866
Si 0.0514 0.3397 0.2734
Si 0.2863 0.1643 0.4740
O 0.4120 0.8013 0.5503
Mg 0.8642 0.5080 0.1249
Si 0.4486 0.8397 0.7266
O 0.9694 0.6560 0.8139
O 0.5306 0.1560 0.1861
Mg 0.1358 0.4920 0.8751
Mg 0.8642 0.0080 0.3751
Si 0.4486 0.3397 0.7734
O 0.0464 0.9963 0.1866
O 0.9120 0.1987 0.9497
Si 0.7863 0.3357 0.4740
Mg 0.6358 0.0080 0.8751
Si 0.7137 0.8357 0.5260
Si 0.7863 0.8357 0.0260
O 0.5880 0.6987 0.0503
O 0.2164 0.6577 0.4378
O 0.8332 0.7222 0.1969
O 0.9120 0.6987 0.5503
Fe 0.1322 0.3469 0.6237
O 0.7836 0.3423 0.5622
O 0.4694 0.8440 0.8139
O 0.7164 0.3423 0.0622
O 0.5306 0.6560 0.3139
Si 0.9486 0.6603 0.7266
O 0.4536 0.4963 0.8134
O 0.7164 0.8423 0.4378
O 0.3332 0.2778 0.3031
O 0.5464 0.0037 0.3134
Si 0.7137 0.3357 0.9740
O 0.1668 0.2778 0.8031
O 0.0306 0.8440 0.3139
Fe 0.8678 0.6531 0.3763
O 0.8156 0.4779 0.9316
O 0.6844 0.4779 0.4316
Mg 0.6358 0.5080 0.6249
O 0.3156 0.5221 0.5684
Si 0.5514 0.6603 0.2266
O 0.0880 0.8013 0.0503
O 0.2836 0.6577 0.9378
O 0.2164 0.1577 0.0622
O 0.0880 0.3013 0.4497
O 0.1844 0.5221 0.0684
O 0.3156 0.0221 0.9316
O 0.1844 0.0221 0.4316
O 0.2836 0.1577 0.5622
Si 0.2863 0.6643 0.0260
Fe 0.3678 0.3469 0.1237
Fe 0.1322 0.8469 0.8763
O 0.4120 0.3013 0.9497
O 0.9536 0.0037 0.8134
Si 0.0514 0.8397 0.2266
O 0.0306 0.3440 0.1861
O 0.9694 0.1560 0.6861
O 0.8156 0.9779 0.5684
Si 0.5514 0.1603 0.2734
Mg 0.3642 0.9920 0.1249
Fe 0.6322 0.1531 0.6237
O 0.0464 0.4963 0.3134
Si 0.2137 0.1643 0.9740
Fe 0.3678 0.8469 0.3763
Mg 0.3642 0.4920 0.3751
O 0.6668 0.7222 0.6969
Fe 0.8678 0.1531 0.1237
Si 0.2137 0.6643 0.5260
O 0.3332 0.7778 0.1969
O 0.9536 0.5037 0.6866
O 0.5464 0.5037 0.1866

Calculated values
Fermi-level density of states (states/eV per atom): 0.000
Total moment (μB per formula unit): 4.000
E above lowest polymorph (eV per atom): 0.000